Entry 1:
Here is an optimized crystal structure of BeCuGe from Alexandria via LeMat-Bulk. Energies are from GGA-PBE.

```
BeCuGe
1.0
-1.348 1.348 11.023
1.348 -1.348 11.023
1.348 1.348 -11.023
Be Cu Ge
2 2 2
direct
0.224 0.224 0.000 Be
0.776 0.776 0.000 Be
0.336 0.336 0.000 Cu
0.664 0.664 0.000 Cu
0.074 0.074 0.000 Ge
0.926 0.926 0.000 Ge
```

## Properties
The calculation puts the total magnetization at 0.0 μB per cell. Its total energy is -4.089 eV/atom.


Entry 2:
Here is an optimized crystal structure of BeCu6Ge from Alexandria via LeMat-Bulk. Energies are from GGA-PBE.

```
BeCu6Ge
1.0
3.050 -3.549 0.000
3.050 3.549 0.000
-0.564 0.000 4.526
Be Cu Ge
1 6 1
direct
0.000 0.000 0.000 Be
0.147 0.519 0.783 Cu
0.342 0.342 0.283 Cu
0.481 0.853 0.217 Cu
0.519 0.147 0.783 Cu
0.658 0.658 0.717 Cu
0.853 0.481 0.217 Cu
0.000 0.000 0.500 Ge
```

## Properties
The calculation puts the total magnetization at 0.0 μB per cell. Its total energy is -4.046 eV/atom.


Entry 3:
Here is an optimized crystal structure of BeCu2Ge2 from Alexandria via LeMat-Bulk. Energies are from GGA-PBE.

```
BeCu2Ge2
1.0
6.136 0.000 0.000
0.000 6.136 0.000
0.000 0.000 3.897
Be Cu Ge
2 4 4
direct
0.000 0.000 0.000 Be
0.500 0.500 0.000 Be
0.152 0.348 0.500 Cu
0.348 0.848 0.500 Cu
0.652 0.152 0.500 Cu
0.848 0.652 0.500 Cu
0.152 0.652 0.000 Ge
0.348 0.152 0.000 Ge
0.652 0.848 0.000 Ge
0.848 0.348 0.000 Ge
```

## Properties
The calculation puts the total magnetization at 0.0 μB per cell. Its total energy is -3.908 eV/atom.


Entry 4:
Here is an optimized crystal structure of BeCuGe3 from Alexandria via LeMat-Bulk. Energies are from GGA-PBE.

```
BeCuGe3
1.0
4.670 0.000 0.000
0.000 4.670 0.000
0.000 0.000 4.670
Be Cu Ge
1 1 3
direct
0.000 0.000 0.000 Be
0.500 0.500 0.500 Cu
0.000 0.500 0.500 Ge
0.500 0.000 0.500 Ge
0.500 0.500 0.000 Ge
```

## Properties
The calculation puts the total magnetization at 0.0 μB per cell. Its total energy is -3.480 eV/atom.


Entry 5:
Here is an optimized crystal structure of BeCu2Ge from Alexandria via LeMat-Bulk. Energies are from GGA-PBE.

```
BeCu2Ge
1.0
-1.810 1.810 8.216
1.810 -1.810 8.216
1.810 1.810 -8.216
Be Cu Ge
2 4 2
direct
0.000 0.000 0.000 Be
0.750 0.250 0.500 Be
0.112 0.625 0.987 Cu
0.375 0.362 0.487 Cu
0.638 0.125 0.013 Cu
0.875 0.888 0.513 Cu
0.250 0.750 0.500 Ge
0.500 0.500 0.000 Ge
```

## Properties
The calculation puts the total magnetization at 0.0 μB per cell. Its total energy is -3.850 eV/atom.


Entry 6:
Here is an optimized crystal structure of Be2Cu2Ge from Alexandria via LeMat-Bulk. Energies are from GGA-PBE.

```
Be2Cu2Ge
1.0
6.722 0.000 0.000
0.000 6.722 0.000
0.000 0.000 2.602
Be Cu Ge
4 4 2
direct
0.164 0.336 0.000 Be
0.336 0.836 0.000 Be
0.664 0.164 0.000 Be
0.836 0.664 0.000 Be
0.131 0.631 0.500 Cu
0.369 0.131 0.500 Cu
0.631 0.869 0.500 Cu
0.869 0.369 0.500 Cu
0.000 0.000 0.500 Ge
0.500 0.500 0.500 Ge
```

## Properties
The calculation puts the total magnetization at 0.0 μB per cell. Its total energy is -3.890 eV/atom.


Entry 7:
Here is an optimized crystal structure of BeCu3Ge from Alexandria via LeMat-Bulk. Energies are from GGA-PBE.

```
BeCu3Ge
1.0
4.449 0.000 0.000
0.000 4.449 0.000
0.000 0.000 4.449
Be Cu Ge
1 3 1
direct
0.000 0.000 0.000 Be
0.000 0.500 0.500 Cu
0.500 0.000 0.500 Cu
0.500 0.500 0.000 Cu
0.500 0.500 0.500 Ge
```

## Properties
The calculation puts the total magnetization at 0.0 μB per cell. Its total energy is -3.215 eV/atom.


Entry 8:
Here is an optimized crystal structure of Be4CuGe from Alexandria via LeMat-Bulk. Energies are from GGA-PBE.

```
Be4CuGe
1.0
0.000 3.123 3.123
3.123 0.000 3.123
3.123 3.123 0.000
Be Cu Ge
4 1 1
direct
0.124 0.124 0.124 Be
0.124 0.124 0.627 Be
0.124 0.627 0.124 Be
0.627 0.124 0.124 Be
0.750 0.750 0.750 Cu
0.500 0.500 0.500 Ge
```

## Properties
The calculation puts the total magnetization at 0.0 μB per cell. Its total energy is -3.766 eV/atom.


Entry 9:
Here is an optimized crystal structure of Be2Cu2Ge from Alexandria via LeMat-Bulk. Energies are from GGA-PBE.

```
Be2Cu2Ge
1.0
-1.606 1.606 5.911
1.606 -1.606 5.911
1.606 1.606 -5.911
Be Cu Ge
2 2 1
direct
0.250 0.750 0.500 Be
0.750 0.250 0.500 Be
0.111 0.111 0.000 Cu
0.889 0.889 0.000 Cu
0.500 0.500 0.000 Ge
```

## Properties
The calculation puts the total magnetization at 0.0 μB per cell. Its total energy is -3.859 eV/atom.


Entry 10:
Here is an optimized crystal structure of Be2Cu2Ge from Alexandria via LeMat-Bulk. Energies are from GGA-PBE.

```
Be2Cu2Ge
1.0
6.306 0.000 0.000
0.000 6.306 0.000
0.000 0.000 2.924
Be Cu Ge
4 4 2
direct
0.134 0.366 0.000 Be
0.366 0.866 0.000 Be
0.634 0.134 0.000 Be
0.866 0.634 0.000 Be
0.154 0.654 0.500 Cu
0.346 0.154 0.500 Cu
0.654 0.846 0.500 Cu
0.846 0.346 0.500 Cu
0.000 0.000 0.000 Ge
0.500 0.500 0.000 Ge
```

## Properties
The calculation puts the total magnetization at 0.0 μB per cell. Its total energy is -3.882 eV/atom.


Entry 11:
Here is an optimized crystal structure of BeCu14Ge from Alexandria via LeMat-Bulk. Energies are from GGA-PBE.

```
BeCu14Ge
1.0
8.318 0.000 0.000
0.000 2.664 4.311
0.000 -2.664 4.311
Be Cu Ge
1 14 1
direct
0.000 0.000 0.000 Be
0.000 0.002 0.499 Cu
0.000 0.499 0.002 Cu
0.246 0.307 0.823 Cu
0.246 0.823 0.307 Cu
0.250 0.816 0.816 Cu
0.254 0.317 0.317 Cu
0.500 0.137 0.641 Cu
0.500 0.139 0.139 Cu
0.500 0.637 0.637 Cu
0.500 0.641 0.137 Cu
0.746 0.317 0.317 Cu
0.750 0.816 0.816 Cu
0.754 0.307 0.823 Cu
0.754 0.823 0.307 Cu
0.000 0.502 0.502 Ge
```

## Properties
The calculation puts the total magnetization at 0.0 μB per cell. Its total energy is -4.086 eV/atom.


Entry 12:
Here is an optimized crystal structure of BeCuGe from Alexandria via LeMat-Bulk. Energies are from GGA-PBE.

```
BeCuGe
1.0
0.000 2.744 2.744
2.744 0.000 2.744
2.744 2.744 0.000
Be Cu Ge
1 1 1
direct
0.000 0.000 0.000 Be
0.750 0.750 0.750 Cu
0.500 0.500 0.500 Ge
```

## Properties
The calculation puts the total magnetization at 0.0 μB per cell. Its total energy is -4.011 eV/atom.